Record 1
A geometry-optimized MgCu2Si2 structure, computed with GGA-PBE.

Properties
For the total magnetic moment, the calculation gives 0.00 μB/cell. Its crystal system is triclinic. As for the symmetry: P-1, No. 2. The formation energy from raw total energies comes out at -0.07 eV per formula unit.

a = 5.0625 Å, b = 5.3098 Å, c = 6.4607 Å
α = 91.02°, β = 106.37°, γ = 111.48°
Closest atoms and distances in Å follow each position.
Fractional coordinates of all 10 atoms:
1 Mg 0.1007 0.2939 0.1907  4 Cu 2.69-2.91, 3 Si 2.86-3.00
2 Mg 0.8993 0.7061 0.8093  4 Cu 2.69-2.91, 3 Si 2.86-3.00
3 Cu 0.2704 0.6590 0.5516  4 Si 2.34-2.51, 2 Cu 2.51-2.52
4 Cu 0.4635 0.7295 0.9594  4 Si 2.38-2.52, 2 Cu 2.51-2.64
5 Cu 0.5365 0.2705 0.0406  4 Si 2.38-2.52, 2 Cu 2.51-2.64
6 Cu 0.7296 0.3410 0.4484  4 Si 2.34-2.51, 2 Cu 2.51-2.52
7 Si 0.1442 0.2729 0.7308  4 Cu 2.34-2.52, 1 Si 2.47
8 Si 0.3768 0.9063 0.2638  4 Cu 2.37-2.47, 1 Si 2.47
9 Si 0.6232 0.0937 0.7362  4 Cu 2.37-2.47, 1 Si 2.47
10 Si 0.8558 0.7271 0.2692  4 Cu 2.34-2.52, 1 Si 2.47

---

Record 2
A geometry-optimized Mg2CuSi structure, computed with GGA-PBE.

Properties
For the total magnetic moment, the calculation gives 0.00 μB/cell. Its crystal system is tetragonal. As for the symmetry: P4mm, No. 99. The formation energy from raw total energies comes out at 0.21 eV per formula unit.

a = 3.0226 Å, b = 3.0226 Å, c = 7.5815 Å
α = 90.00°, β = 90.00°, γ = 90.00°
Closest atoms and distances in Å follow each position.
Fractional coordinates of all 4 atoms:
1 Mg 0.0000 0.0000 0.0000  4 Cu 2.81, 4 Mg 3.02, 1 Si 3.12
2 Mg 0.5000 0.5000 0.3265  4 Si 2.92, 4 Mg 3.02
3 Cu 0.5000 0.5000 0.7591  4 Si 2.50
4 Si 0.0000 0.0000 0.5883  4 Cu 2.50